(1)
VASP calculation (PBE-GGA) on an optimized crystal structure of LaMn2Cr.

Calculated values
E above lowest polymorph   0.488 eV/atom
Crystal system   cubic
Symmetry   Fm-3m

Unit cell a=4.4072 b=4.4072 c=4.4072 alpha=60.00 beta=60.00 gamma=60.00
Positions (direct):
Cr 0.0000 0.0000 0.0000
Mn 0.2500 0.2500 0.2500
Mn 0.7500 0.7500 0.7500
La 0.5000 0.5000 0.5000

(2)
VASP calculation (PBE-GGA) on an optimized crystal structure of La4MnCr.

Calculated values
Crystal system   cubic
Symmetry   F-43m

Unit cell a=6.4521 b=6.4521 c=6.4521 alpha=60.00 beta=60.00 gamma=60.00
Last column: magnetic moment on the atom in μB.
Positions (direct):
La 0.8731 0.3756 0.3756  0.14
La 0.3756 0.3756 0.8731  0.14
La 0.3756 0.8731 0.3756  0.14
La 0.3756 0.3756 0.3756  0.14
Mn 0.7500 0.7500 0.7500  -4.17
Cr 0.0000 0.0000 0.0000  -3.93

| no. | density of states at the Fermi level (states/eV per atom) | formation energy from the elements (meV per atom) |
| --- | --- | --- |
| 1 | 1.223 | 739.9 |
| 2 | 1.836 | 839.9 |